YIn2Te2 after structural relaxation, computed with PBE.

```
YIn2Te2
1.0
8.071 0.000 0.000
0.000 8.071 0.000
0.000 0.000 4.949
Y In Te
2 4 4
direct
0.500 0.500 0.000
0.000 0.000 0.000
0.350 0.150 0.500
0.150 0.650 0.500
0.650 0.850 0.500
0.850 0.350 0.500
0.334 0.834 0.000
0.666 0.166 0.000
0.834 0.666 0.000
0.166 0.334 0.000
```

VASP energy	-4.111	eV/atom
calculated volume	161.2	Å³/f.u.
formation energy (no corrections)	-0.4666	eV/atom
E above lowest polymorph	0.00	eV/f.u.


YInTe2 after structural relaxation, computed with PBE.

```
YInTe2
1.0
-2.722 2.777 2.103
-1.450 -3.979 -1.268
2.603 -3.491 7.979
Y In Te
1 1 2
direct
0.000 0.000 0.998
0.333 0.667 0.432
0.667 0.333 0.207
0.333 0.667 0.817
```

VASP energy	-4.787	eV/atom
calculated volume	153.8	Å³/f.u.
formation energy (no corrections)	-0.9154	eV/atom


YIn3Te6 after structural relaxation, computed with PBE.

```
YIn3Te6
1.0
4.395 0.000 0.000
0.000 12.070 -4.489
0.000 -0.126 12.199
Te In Y
12 6 2
direct
0.250 0.542 0.394
0.250 0.194 0.270
0.750 0.458 0.606
0.250 0.068 0.906
0.250 0.605 0.937
0.750 0.395 0.063
0.750 0.754 0.261
0.250 0.904 0.536
0.250 0.246 0.739
0.750 0.806 0.730
0.750 0.096 0.464
0.750 0.932 0.094
0.750 0.703 0.473
0.750 0.170 0.098
0.250 0.562 0.163
0.750 0.438 0.837
0.250 0.297 0.527
0.250 0.830 0.902
0.750 0.050 0.704
0.250 0.950 0.296
```

VASP energy	-3.857	eV/atom
calculated volume	322.3	Å³/f.u.
formation energy (no corrections)	-0.5039	eV/atom


Y4In3Te8 after structural relaxation, computed with PBE.

```
Y4In3Te8
1.0
-0.744 6.329 6.079
-1.454 -8.500 2.317
8.099 -2.278 -2.990
Te Y In
8 4 3
direct
0.500 0.756 0.244
0.515 0.767 0.767
0.989 0.243 0.243
0.000 0.751 0.249
0.485 0.233 0.233
0.500 0.244 0.756
0.000 0.249 0.751
0.011 0.757 0.757
0.500 0.000 0.000
0.000 0.000 0.000
0.000 0.500 0.000
0.000 0.000 0.500
0.500 0.500 0.500
0.500 0.500 0.000
0.500 0.000 0.500
```

VASP energy	-4.919	eV/atom
calculated volume	507.0	Å³/f.u.
formation energy (no corrections)	-0.9716	eV/atom